Arrangement P

{
  "formula": "TbCoRu",
  "functional": "PBE-GGA",
  "state": "optimized geometry",
  "lattice_angstrom": [[4.050, 0.000, 0.000], [0.000, 4.032, 0.000], [0.000, -2.016, 3.492]],
  "species": ["Ru", "Tb", "Co"],
  "fractional_positions": [[0.167, 0.333, 0.667], [0.667, 0.667, 0.333], [0.167, 0.000, 0.000]]
}


Arrangement Q

{
  "formula": "TbCoRu",
  "functional": "PBE-GGA",
  "state": "optimized geometry",
  "lattice_angstrom": [[-3.913, -0.084, 3.469], [1.874, -4.455, -1.998], [4.851, 1.268, 1.486]],
  "species": ["Tb", "Tb", "Co", "Co", "Ru", "Ru"],
  "fractional_positions": [[0.250, 0.124, 0.874], [0.750, 0.876, 0.126], [0.500, 0.500, 0.500], [0.000, 0.500, 0.000], [0.000, 0.500, 0.500], [0.500, 0.000, 0.500]]
}


So which one wins? Going from most stable to least: arrangement Q, arrangement P.


Arrangement P

{
  "formula": "CoTe2Ru",
  "functional": "PBE-GGA",
  "state": "optimized geometry",
  "lattice_angstrom": [[7.566, 0.000, 0.000], [6.803, 3.311, 0.000], [6.803, 1.568, 2.916]],
  "species": ["Co", "Ru", "Te", "Te"],
  "fractional_positions": [[0.250, 0.250, 0.250], [0.750, 0.750, 0.750], [0.994, 0.994, 0.994], [0.506, 0.506, 0.506]]
}


Arrangement Q

{
  "formula": "CoTe2Ru",
  "functional": "PBE-GGA",
  "state": "optimized geometry",
  "lattice_angstrom": [[-1.076, -3.012, -1.906], [2.954, -1.241, 0.294], [-1.921, -3.141, 6.049]],
  "species": ["Co", "Ru", "Te", "Te"],
  "fractional_positions": [[0.000, 0.000, 0.517], [0.500, 0.500, 0.731], [0.000, 0.000, 0.883], [0.500, 0.500, 0.369]]
}


So which one wins? Going from most stable to least: arrangement Q, arrangement P.


Arrangement P

{
  "formula": "CoTe2Ru",
  "functional": "PBE-GGA",
  "state": "optimized geometry",
  "lattice_angstrom": [[5.776, 0.000, 0.000], [0.000, 5.776, 0.000], [2.888, 2.888, 5.774]],
  "species": ["Ru", "Ru", "Te", "Te", "Te", "Te", "Co", "Co"],
  "fractional_positions": [[0.000, 0.000, 0.000], [0.750, 0.250, 0.500], [0.609, 0.125, 0.250], [0.141, 0.625, 0.250], [0.375, 0.391, 0.750], [0.875, 0.859, 0.750], [0.500, 0.500, 0.000], [0.250, 0.750, 0.500]]
}


Arrangement Q

{
  "formula": "CoTe2Ru",
  "functional": "PBE-GGA",
  "state": "optimized geometry",
  "lattice_angstrom": [[0.000, 3.308, 3.308], [3.308, 0.000, 3.308], [3.308, 3.308, 0.000]],
  "species": ["Ru", "Te", "Te", "Co"],
  "fractional_positions": [[0.500, 0.500, 0.500], [0.250, 0.250, 0.250], [0.750, 0.750, 0.750], [0.000, 0.000, 0.000]]
}


Arrangement R

{
  "formula": "CoTe2Ru",
  "functional": "PBE-GGA",
  "state": "optimized geometry",
  "lattice_angstrom": [[0.009, 6.398, -5.273], [-2.077, 3.862, -7.037], [-3.599, 6.027, -4.412]],
  "species": ["Ru", "Te", "Te", "Co"],
  "fractional_positions": [[0.500, 0.500, 0.500], [0.898, 0.898, 0.898], [0.102, 0.102, 0.102], [0.000, 0.000, 0.000]]
}


So which one wins? Going from most stable to least: arrangement P, arrangement Q, arrangement R.